[1]
# Tl2SiIr (PBE, optimized geometry)
data_Tl2SiIr
_cell_length_a 3.765
_cell_length_b 5.316
_cell_length_c 9.865
_cell_angle_alpha 90.00
_cell_angle_beta 90.00
_cell_angle_gamma 90.00
_space_group_name_H-M_alt 'A m m 2'
_space_group_IT_number 38
_space_group_name_Hall 'A 2 -2'
loop_
_atom_site_label
_atom_site_fract_x
_atom_site_fract_y
_atom_site_fract_z
Tl1 0.000 0.000 0.000
Tl2 0.500 0.000 0.321
Si1 0.500 0.000 0.683
Ir1 0.000 0.000 0.552
# E_tot: -37.0 eV/cell


[2]
# TlSi2Ir (PBE, optimized geometry)
data_TlSi2Ir
_cell_length_a 4.347
_cell_length_b 4.347
_cell_length_c 7.310
_cell_angle_alpha 90.00
_cell_angle_beta 90.00
_cell_angle_gamma 90.00
_space_group_name_H-M_alt 'I -4 m 2'
_space_group_IT_number 119
_space_group_name_Hall 'I -4 -2'
loop_
_atom_site_label
_atom_site_fract_x
_atom_site_fract_y
_atom_site_fract_z
Tl1 0.000 0.000 0.000
Si1 0.000 0.000 0.500
Si2 0.000 0.500 0.250
Ir1 0.000 0.500 0.750
# E_tot: -39.0 eV/cell
# Excess energy over the best structure of this formula in the dataset: 68.1 kJ/mol of atoms


[3]
# TlSi2Ir2 (PBE, optimized geometry)
data_TlSi2Ir2
_cell_length_a 7.547
_cell_length_b 7.547
_cell_length_c 2.823
_cell_angle_alpha 90.00
_cell_angle_beta 90.00
_cell_angle_gamma 90.00
_space_group_name_H-M_alt 'P 4/m b m'
_space_group_IT_number 127
_space_group_name_Hall '-P 4 2ab'
loop_
_atom_site_label
_atom_site_fract_x
_atom_site_fract_y
_atom_site_fract_z
Tl1 0.000 0.000 0.000
Si1 0.141 0.359 0.500
Ir1 0.141 0.641 0.000
# E_tot: -62.9 eV/cell
# Excess energy over the best structure of this formula in the dataset: 25.1 kJ/mol of atoms


[4]
# Tl2SiIr (PBE, optimized geometry)
data_Tl2SiIr
_cell_length_a 3.785
_cell_length_b 5.035
_cell_length_c 8.590
_cell_angle_alpha 90.00
_cell_angle_beta 90.00
_cell_angle_gamma 90.00
_space_group_name_H-M_alt 'I m m m'
_space_group_IT_number 71
_space_group_name_Hall '-I 2 2'
loop_
_atom_site_label
_atom_site_fract_x
_atom_site_fract_y
_atom_site_fract_z
Tl1 0.000 0.000 0.245
Si1 0.000 0.500 0.000
Ir1 0.000 0.500 0.500
# E_tot: -32.5 eV/cell


[5]
# Tl2SiIr (PBE, optimized geometry)
data_Tl2SiIr
_cell_length_a 6.110
_cell_length_b 8.186
_cell_length_c 3.228
_cell_angle_alpha 90.00
_cell_angle_beta 90.00
_cell_angle_gamma 90.00
_space_group_name_H-M_alt 'C m m m'
_space_group_IT_number 65
_space_group_name_Hall '-C 2 2'
loop_
_atom_site_label
_atom_site_fract_x
_atom_site_fract_y
_atom_site_fract_z
Tl1 0.250 0.250 0.000
Si1 0.000 0.000 0.500
Ir1 0.000 0.500 0.500
# E_tot: -32.2 eV/cell


[6]
# Tl2SiIr (PBE, optimized geometry)
data_Tl2SiIr
_cell_length_a 4.475
_cell_length_b 4.475
_cell_length_c 8.067
_cell_angle_alpha 90.00
_cell_angle_beta 90.00
_cell_angle_gamma 90.00
_space_group_name_H-M_alt 'I 4/m m m'
_space_group_IT_number 139
_space_group_name_Hall '-I 4 2'
loop_
_atom_site_label
_atom_site_fract_x
_atom_site_fract_y
_atom_site_fract_z
Tl1 0.000 0.500 0.250
Si1 0.000 0.000 0.000
Ir1 0.000 0.000 0.500
# E_tot: -32.2 eV/cell


Number 1: formation energy without anion corrections 2.94 kcal/mol of atoms. Number 2: formation energy without anion corrections 14.75 kcal/mol of atoms. Number 3: formation energy without anion corrections -2.30 kcal/mol of atoms. Number 4: formation energy without anion corrections 15.95 kcal/mol of atoms. Number 5: formation energy without anion corrections 16.75 kcal/mol of atoms. Number 6: formation energy without anion corrections 16.83 kcal/mol of atoms.